[1]
Compound: Nb2NiAu
Source: Alexandria via LeMat-Bulk
Functional: PBE
Structure: relaxed

CIF file:
```
data_Nb2NiAu
_space_group_name_H-M_alt 'P 1'
_space_group_IT_number 1
_space_group_name_Hall 'P 1'
_cell_length_a 10.046
_cell_length_b 10.046
_cell_length_c 10.046
_cell_angle_alpha 158.16
_cell_angle_beta 158.16
_cell_angle_gamma 31.08
loop_
_atom_site_label
_atom_site_fract_x
_atom_site_fract_y
_atom_site_fract_z
Nb1 0.118 0.625 0.993
Nb2 0.375 0.368 0.493
Nb3 0.632 0.125 0.007
Nb4 0.875 0.882 0.507
Ni1 0.000 0.000 0.000
Ni2 0.750 0.250 0.500
Au1 0.250 0.750 0.500
Au2 0.500 0.500 0.000
```

Calculated values
Energy above the most stable polymorph in this dataset   533 meV/atom
Final energy   -55.1 eV per cell
Crystal system   tetragonal
Total moment   0.00 μB per formula unit
SG   I-42d
ΔE_f   0.416 eV per atom


[2]
Compound: NbNi2Au2
Source: Alexandria via LeMat-Bulk
Functional: PBE
Structure: relaxed

CIF file:
```
data_NbNi2Au2
_space_group_name_H-M_alt 'P 1'
_space_group_IT_number 1
_space_group_name_Hall 'P 1'
_cell_length_a 6.519
_cell_length_b 6.519
_cell_length_c 3.618
_cell_angle_alpha 90.00
_cell_angle_beta 90.00
_cell_angle_gamma 90.00
loop_
_atom_site_label
_atom_site_fract_x
_atom_site_fract_y
_atom_site_fract_z
Nb1 0.000 0.000 0.000
Nb2 0.500 0.500 0.000
Ni1 0.130 0.370 0.000
Ni2 0.370 0.870 0.000
Ni3 0.630 0.130 0.000
Ni4 0.870 0.630 0.000
Au1 0.169 0.669 0.500
Au2 0.331 0.169 0.500
Au3 0.669 0.831 0.500
Au4 0.831 0.331 0.500
```

Calculated values
Final energy   -55.9 eV per cell
Crystal system   tetragonal
Total moment   0.00 μB per formula unit
SG   P4/mbm
ΔE_f   0.043 eV per atom


[3]
Compound: NbNi6Au
Source: Alexandria via LeMat-Bulk
Functional: PBE
Structure: relaxed

CIF file:
```
data_NbNi6Au
_space_group_name_H-M_alt 'P 1'
_space_group_IT_number 1
_space_group_name_Hall 'P 1'
_cell_length_a 6.390
_cell_length_b 6.390
_cell_length_c 10.458
_cell_angle_alpha 90.00
_cell_angle_beta 90.00
_cell_angle_gamma 109.51
loop_
_atom_site_label
_atom_site_fract_x
_atom_site_fract_y
_atom_site_fract_z
Nb1 0.000 0.000 0.248
Nb2 0.000 0.000 0.752
Nb3 0.246 0.754 0.500
Nb4 0.754 0.246 0.500
Ni1 0.000 0.000 0.000
Ni2 0.000 0.000 0.500
Ni3 0.122 0.370 0.128
Ni4 0.122 0.370 0.872
Ni5 0.122 0.374 0.378
Ni6 0.122 0.374 0.622
Ni7 0.247 0.753 0.255
Ni8 0.247 0.753 0.745
Ni9 0.370 0.122 0.128
Ni10 0.370 0.122 0.872
Ni11 0.374 0.122 0.378
Ni12 0.374 0.122 0.622
Ni13 0.500 0.500 0.000
Ni14 0.500 0.500 0.500
Ni15 0.626 0.878 0.378
Ni16 0.626 0.878 0.622
Ni17 0.630 0.878 0.128
Ni18 0.630 0.878 0.872
Ni19 0.753 0.247 0.255
Ni20 0.753 0.247 0.745
Ni21 0.878 0.626 0.378
Ni22 0.878 0.626 0.622
Ni23 0.878 0.630 0.128
Ni24 0.878 0.630 0.872
Au1 0.251 0.749 0.000
Au2 0.500 0.500 0.249
Au3 0.500 0.500 0.751
Au4 0.749 0.251 0.000
```

Calculated values
Final energy   -195.4 eV per cell
Crystal system   orthorhombic
Total moment   0.49 μB per formula unit
SG   Cmmm
ΔE_f   -0.101 eV per atom


[4]
Compound: Nb2NiAu
Source: Alexandria via LeMat-Bulk
Functional: PBE
Structure: relaxed

CIF file:
```
data_Nb2NiAu
_space_group_name_H-M_alt 'P 1'
_space_group_IT_number 1
_space_group_name_Hall 'P 1'
_cell_length_a 3.951
_cell_length_b 3.951
_cell_length_c 4.135
_cell_angle_alpha 90.00
_cell_angle_beta 90.00
_cell_angle_gamma 90.00
loop_
_atom_site_label
_atom_site_fract_x
_atom_site_fract_y
_atom_site_fract_z
Nb1 0.000 0.500 0.000
Nb2 0.500 0.000 0.000
Ni1 0.000 0.000 0.500
Au1 0.500 0.500 0.500
```

Calculated values
Energy above the most stable polymorph in this dataset   0 meV/atom
Final energy   -29.7 eV per cell
Crystal system   tetragonal
Total moment   0.00 μB per formula unit
SG   P4/mmm
ΔE_f   -0.117 eV per atom


[5]
Compound: Nb2Ni3Au
Source: Alexandria via LeMat-Bulk
Functional: PBE
Structure: relaxed

CIF file:
```
data_Nb2Ni3Au
_space_group_name_H-M_alt 'P 1'
_space_group_IT_number 1
_space_group_name_Hall 'P 1'
_cell_length_a 4.962
_cell_length_b 4.962
_cell_length_c 8.654
_cell_angle_alpha 90.00
_cell_angle_beta 90.00
_cell_angle_gamma 120.00
loop_
_atom_site_label
_atom_site_fract_x
_atom_site_fract_y
_atom_site_fract_z
Nb1 0.000 0.000 0.000
Nb2 0.000 0.000 0.500
Nb3 0.333 0.667 0.000
Nb4 0.667 0.333 0.000
Ni1 0.000 0.500 0.244
Ni2 0.000 0.500 0.756
Ni3 0.500 0.000 0.244
Ni4 0.500 0.000 0.756
Ni5 0.500 0.500 0.244
Ni6 0.500 0.500 0.756
Au1 0.333 0.667 0.500
Au2 0.667 0.333 0.500
```

Calculated values
Final energy   -80.1 eV per cell
Crystal system   hexagonal
Total moment   0.00 μB per formula unit
SG   P6/mmm
ΔE_f   0.116 eV per atom


[6]
Compound: RbNbNiAu2
Source: Alexandria via LeMat-Bulk
Functional: PBE
Structure: relaxed

CIF file:
```
data_RbNbNiAu2
_space_group_name_H-M_alt 'P 1'
_space_group_IT_number 1
_space_group_name_Hall 'P 1'
_cell_length_a 5.540
_cell_length_b 5.540
_cell_length_c 5.413
_cell_angle_alpha 90.00
_cell_angle_beta 90.00
_cell_angle_gamma 90.00
loop_
_atom_site_label
_atom_site_fract_x
_atom_site_fract_y
_atom_site_fract_z
Rb1 0.000 0.000 0.000
Nb1 0.000 0.000 0.500
Ni1 0.500 0.500 0.500
Au1 0.000 0.500 0.000
Au2 0.500 0.000 0.000
```

Calculated values
Final energy   -11.2 eV per cell
Crystal system   tetragonal
Total moment   3.76 μB per formula unit
SG   P4/mmm
ΔE_f   2.443 eV per atom


[7]
Compound: NbNiAuS2
Source: Alexandria via LeMat-Bulk
Functional: PBE
Structure: relaxed

CIF file:
```
data_NbNiAuS2
_space_group_name_H-M_alt 'P 1'
_space_group_IT_number 1
_space_group_name_Hall 'P 1'
_cell_length_a 4.700
_cell_length_b 4.700
_cell_length_c 5.286
_cell_angle_alpha 90.00
_cell_angle_beta 90.00
_cell_angle_gamma 90.00
loop_
_atom_site_label
_atom_site_fract_x
_atom_site_fract_y
_atom_site_fract_z
Nb1 0.000 0.000 0.000
Ni1 0.500 0.500 0.500
Au1 0.000 0.000 0.500
S1 0.000 0.500 0.000
S2 0.500 0.000 0.000
```

Calculated values
E_form (uncorrected)   0.49 eV/atom
Final energy   -24.9 eV per cell
Crystal system   tetragonal
Total moment   0.88 μB per formula unit
SG   P4/mmm


[8]
Compound: Nb2SiNiAu
Source: Alexandria via LeMat-Bulk
Functional: PBE
Structure: relaxed

CIF file:
```
data_Nb2SiNiAu
_space_group_name_H-M_alt 'P 1'
_space_group_IT_number 1
_space_group_name_Hall 'P 1'
_cell_length_a 4.677
_cell_length_b 4.677
_cell_length_c 4.136
_cell_angle_alpha 90.00
_cell_angle_beta 90.00
_cell_angle_gamma 90.00
loop_
_atom_site_label
_atom_site_fract_x
_atom_site_fract_y
_atom_site_fract_z
Nb1 0.000 0.500 0.000
Nb2 0.500 0.000 0.000
Si1 0.000 0.000 0.500
Ni1 0.000 0.000 0.000
Au1 0.500 0.500 0.500
```

Calculated values
E_form (uncorrected)   0.45 eV/atom
Final energy   -32.4 eV per cell
Crystal system   tetragonal
Total moment   0.00 μB per formula unit
SG   P4/mmm